29
Lattice="-5.045 2.382 4.872 -5.889 -4.203 1.587 -0.557 -3.240 6.637" Properties=species:S:1:pos:R:3 comment="meta-GGA SCAN Cr22MoC6, single point on PBEsol structure" total_energy_ev_per_atom=-17.27 total_magnetization_mub_per_fu=0.00 formation_energy_mev_per_atom=-29 crystal_system=cubic sg=Fm-3m pbc="T T T"
Cr -4.046 -3.870 3.332
Cr -2.108 -1.297 6.027
Cr -3.854 -2.751 1.039
Cr -0.364 -2.120 4.344
Cr -5.597 -1.927 2.722
Cr -4.647 -3.467 8.143
Cr -7.175 -3.924 5.749
Cr -4.315 -1.138 7.348
Cr -4.715 -4.260 5.791
Cr -0.192 -1.120 2.294
Cr -2.873 -1.265 3.274
Cr -2.035 -1.452 0.548
Cr -7.107 -3.131 8.101
Cr -4.383 -1.931 4.996
Cr -1.743 0.823 1.684
Cr -3.301 1.559 3.189
Cr -6.843 -1.594 4.954
Cr -2.399 -3.573 4.892
Cr -6.775 -0.801 7.306
Cr -5.336 0.106 3.737
Cr -8.618 -3.796 9.823
Cr -3.494 0.439 5.482
C -6.060 -4.737 7.301
C -3.415 -2.849 6.588
C -5.810 -3.282 4.321
C -5.681 -1.780 8.776
C -5.431 -0.325 5.796
C -8.075 -2.212 6.509
Mo 0.000 0.000 0.000